ScUZnO6: relaxed, PBE-GGA.

Cell and atoms, written as CIF:
```
data_ScUZnO6
_cell_length_a 5.2921
_cell_length_b 5.2921
_cell_length_c 9.3957
_cell_angle_alpha 90.00
_cell_angle_beta 90.00
_cell_angle_gamma 120.00
_space_group_name_H-M_alt 'P -3 1 c'
_space_group_IT_number 163
_space_group_name_Hall '-P 3 2c'
loop_
_atom_site_label
_atom_site_type_symbol
_atom_site_fract_x
_atom_site_fract_y
_atom_site_fract_z
Sc1 Sc 0.0000 0.0000 0.0000
U1 U 0.3333 0.6667 0.2500
Zn1 Zn 0.3333 0.6667 0.7500
O1 O 0.0057 0.3372 0.1292
```

Results
* D(E_F): 7.948 states/eV/f.u.
* calculated volume: 12.66 Å³ per atom
* ΔE_f (raw): -2499 meV per atom